Arrangement w

A geometry-optimized NpTi2In structure. Source: Alexandria via LeMat-Bulk, functional PBE.

Cell lengths 4.8254, 4.8254, 4.8254 Å; angles 60.00, 60.00, 60.00 degrees
Atoms (fractional coordinates):
Np 0.0000 0.0000 0.0000
Ti 0.2500 0.2500 0.2500
Ti 0.7500 0.7500 0.7500
In 0.5000 0.5000 0.5000


Arrangement x

A geometry-optimized NpTi2In structure. Source: Alexandria via LeMat-Bulk, functional PBE.

Cell lengths 3.3530, 3.3530, 6.8112 Å; angles 90.00, 90.00, 90.00 degrees
Atoms (fractional coordinates):
Np 0.0000 0.0000 0.0000
Ti 0.5000 0.5000 0.2285
Ti 0.5000 0.5000 0.7715
In 0.0000 0.0000 0.5000


Arrangement y

A geometry-optimized NpTi2In structure. Source: Alexandria via LeMat-Bulk, functional PBE.

Cell lengths 4.9455, 4.9455, 3.1209 Å; angles 90.00, 90.00, 90.00 degrees
Atoms (fractional coordinates):
Np 0.0000 0.0000 0.0000
Ti 0.0000 0.5000 0.5000
Ti 0.5000 0.0000 0.5000
In 0.5000 0.5000 0.0000


Arrangement z

A geometry-optimized NpTi2In structure. Source: Alexandria via LeMat-Bulk, functional PBE.

Cell lengths 9.7339, 9.7339, 9.7339 Å; angles 18.29, 18.29, 18.29 degrees
Atoms (fractional coordinates):
Np 0.0000 0.0000 0.0000
Ti 0.2515 0.2515 0.2515
Ti 0.7485 0.7485 0.7485
In 0.5000 0.5000 0.5000


Most favorable structure: arrangement y. The second most favorable one is 5.3 kJ/mol of atoms above it.


Arrangement w

A geometry-optimized NpTlIn2 structure. Source: Alexandria via LeMat-Bulk, functional PBE.

Cell lengths 11.7265, 11.7265, 11.7265 Å; angles 15.92, 15.92, 15.92 degrees
Atoms (fractional coordinates):
Np 0.0000 0.0000 0.0000
Tl 0.5000 0.5000 0.5000
In 0.4130 0.4130 0.4130
In 0.5870 0.5870 0.5870


Arrangement x

A geometry-optimized NpTlIn2 structure. Source: Alexandria via LeMat-Bulk, functional PBE.

Cell lengths 4.6833, 4.6833, 4.6924 Å; angles 90.00, 90.00, 90.00 degrees
Atoms (fractional coordinates):
Np 0.0000 0.0000 0.0000
Tl 0.5000 0.5000 0.0000
In 0.0000 0.5000 0.5000
In 0.5000 0.0000 0.5000


Most favorable structure: arrangement x. The second most favorable one is 12.8 kJ/mol of atoms above it.


Arrangement w

A geometry-optimized NpV2In structure. Source: Alexandria via LeMat-Bulk, functional PBE.

Cell lengths 3.2826, 3.2826, 6.4754 Å; angles 90.00, 90.00, 90.00 degrees
Atoms (fractional coordinates):
Np 0.0000 0.0000 0.0000
V 0.5000 0.5000 0.2040
V 0.5000 0.5000 0.7960
In 0.0000 0.0000 0.5000


Arrangement x

A geometry-optimized NpV2In structure. Source: Alexandria via LeMat-Bulk, functional PBE.

Cell lengths 8.5069, 8.5069, 8.5069 Å; angles 21.17, 21.17, 21.17 degrees
Atoms (fractional coordinates):
Np 0.0000 0.0000 0.0000
V 0.2592 0.2592 0.2592
V 0.7408 0.7408 0.7408
In 0.5000 0.5000 0.5000


Most favorable structure: arrangement w. The second most favorable one is 18.8 kJ/mol of atoms above it.


Arrangement w

A geometry-optimized InOs3O structure. Source: Alexandria via LeMat-Bulk, functional PBE.

Cell lengths 4.1645, 4.1645, 4.1645 Å; angles 90.00, 90.00, 90.00 degrees
Atoms (fractional coordinates):
In 0.0000 0.0000 0.0000
Os 0.0000 0.5000 0.5000
Os 0.5000 0.0000 0.5000
Os 0.5000 0.5000 0.0000
O 0.5000 0.5000 0.5000


Arrangement x

A geometry-optimized InOs3O structure. Source: Alexandria via LeMat-Bulk, functional PBE.

Cell lengths 4.9702, 4.9702, 4.9702 Å; angles 90.00, 90.00, 90.00 degrees
Atoms (fractional coordinates):
In 0.0000 0.0000 0.0000
Os 0.0000 0.0000 0.5000
Os 0.0000 0.5000 0.0000
Os 0.5000 0.0000 0.0000
O 0.5000 0.5000 0.5000


Most favorable structure: arrangement w. The second most favorable one is 253.2 kJ/mol of atoms above it.


Arrangement w

A geometry-optimized InOs2O structure. Source: Alexandria via LeMat-Bulk, functional PBE.

Cell lengths 7.5198, 7.5198, 7.5198 Å; angles 144.37, 144.37, 51.27 degrees
Atoms (fractional coordinates):
In 0.0000 0.0000 0.0000
In 0.7500 0.2500 0.5000
Os 0.2845 0.6250 0.1595
Os 0.3750 0.5345 0.6595
Os 0.4655 0.1250 0.8405
Os 0.8750 0.7155 0.3405
O 0.2500 0.7500 0.5000
O 0.5000 0.5000 0.0000


Arrangement x

A geometry-optimized InOs2O structure. Source: Alexandria via LeMat-Bulk, functional PBE.

Cell lengths 4.3651, 4.3651, 4.3651 Å; angles 60.00, 60.00, 60.00 degrees
Atoms (fractional coordinates):
In 0.0000 0.0000 0.0000
Os 0.2500 0.2500 0.2500
Os 0.7500 0.7500 0.7500
O 0.5000 0.5000 0.5000


Most favorable structure: arrangement w. The second most favorable one is 69.1 kJ/mol of atoms above it.


Arrangement w

A geometry-optimized In3OsO structure. Source: Alexandria via LeMat-Bulk, functional PBE.

Cell lengths 5.1561, 5.1561, 5.1561 Å; angles 90.00, 90.00, 90.00 degrees
Atoms (fractional coordinates):
In 0.0000 0.0000 0.5000
In 0.0000 0.5000 0.0000
In 0.5000 0.0000 0.0000
Os 0.0000 0.0000 0.0000
O 0.5000 0.5000 0.5000


Arrangement x

A geometry-optimized In3OsO structure. Source: Alexandria via LeMat-Bulk, functional PBE.

Cell lengths 4.5004, 4.5004, 4.5004 Å; angles 90.00, 90.00, 90.00 degrees
Atoms (fractional coordinates):
In 0.0000 0.0000 0.5000
In 0.0000 0.5000 0.0000
In 0.5000 0.0000 0.0000
Os 0.5000 0.5000 0.5000
O 0.0000 0.0000 0.0000


Most favorable structure: arrangement x. The second most favorable one is 22.1 kJ/mol of atoms above it.